DFT (PBE) results for YTmPbN after structural relaxation.

```
YTmPbN
1.0
-2.0995 0.2287 2.8242
1.6689 -3.0229 -0.7163
12.0230 4.6083 8.5649
Pb Y Tm N
2 2 2 2
direct
0.6667 0.3333 0.2531
0.3333 0.6667 0.7469
0.3333 0.6667 0.0847
0.6667 0.3333 0.9153
0.6667 0.3333 0.5819
0.3333 0.6667 0.4181
0.0000 0.0000 0.5000
0.0000 0.0000 0.0000
```

## Properties
E: -6.85 eV/atom
energy above the lowest structure with this stoichiometry: 0.003 eV per atom



DFT (PBE) results for PbW4N3 after structural relaxation.

```
PbW4N3
1.0
3.2988 0.0000 0.0000
-1.6494 2.8568 0.0000
0.0000 0.0000 22.5148
W Pb N
8 2 6
direct
0.3333 0.6667 0.0554
0.0000 0.0000 0.8578
0.0000 0.0000 0.3578
0.0000 0.0000 0.1422
0.3333 0.6667 0.4446
0.0000 0.0000 0.6422
0.6667 0.3333 0.5554
0.6667 0.3333 0.9446
0.6667 0.3333 0.7500
0.3333 0.6667 0.2500
0.3333 0.6667 0.8915
0.0000 0.0000 0.5000
0.3333 0.6667 0.6085
0.6667 0.3333 0.1085
0.6667 0.3333 0.3915
0.0000 0.0000 0.0000
```

## Properties
E: -9.63 eV/atom



DFT (PBE) results for PbW3N2 after structural relaxation.

```
PbW3N2
1.0
-3.2859 0.3169 0.1705
1.4441 -2.8014 0.9965
1.4809 6.5706 16.3256
Pb W N
2 6 4
direct
0.0000 0.0000 0.2500
0.0000 0.0000 0.7500
0.3333 0.6667 0.8825
0.3333 0.6667 0.6175
0.0000 0.0000 0.5000
0.6667 0.3333 0.1175
0.6667 0.3333 0.3825
0.0000 0.0000 0.0000
0.3333 0.6667 0.0647
0.6667 0.3333 0.9353
0.3333 0.6667 0.4353
0.6667 0.3333 0.5647
```

## Properties
E: -9.35 eV/atom



DFT (PBE) results for Pb2WN2 after structural relaxation.

```
Pb2WN2
1.0
5.1701 -4.3270 2.8451
-1.1013 -1.5619 7.0636
-4.1713 -0.2996 -6.0048
Pb N W
4 4 2
direct
0.9834 0.4834 0.5000
0.7666 0.7666 0.0000
0.2334 0.2334 0.0000
0.5166 0.0166 0.5000
0.3750 0.1250 0.7500
0.8750 0.6250 0.2500
0.3750 0.6250 0.7500
0.3750 0.6250 0.2500
0.0000 0.0000 0.0000
0.7500 0.2500 0.5000
```

## Properties
E: -5.18 eV/atom



DFT (PBE) results for Y4Pb3W2N3 after structural relaxation.

```
Y4Pb3W2N3
1.0
-4.2965 3.3310 -2.6111
-2.0094 -1.4738 -5.4921
-8.2700 -9.0388 8.5097
N Y W Pb
6 8 4 6
direct
0.1713 0.6640 0.9997
0.0000 0.5000 0.5000
0.3360 0.8287 0.5003
0.8287 0.3360 0.0003
0.5000 0.0000 0.0000
0.6640 0.1713 0.4997
0.8565 0.6990 0.0875
0.1988 0.0257 0.0876
0.6990 0.8565 0.5875
0.1435 0.3010 0.9125
0.0257 0.1988 0.5876
0.3010 0.1435 0.4125
0.9743 0.8012 0.4124
0.8012 0.9743 0.9124
0.6307 0.4817 0.4359
0.5183 0.3693 0.0641
0.3693 0.5183 0.5641
0.4817 0.6307 0.9359
0.4165 0.2789 0.7478
0.1186 0.8814 0.7500
0.5835 0.7211 0.2522
0.7211 0.5835 0.7522
0.8814 0.1186 0.2500
0.2789 0.4165 0.2478
```

## Properties
E: -7.87 eV/atom



DFT (PBE) results for Zr2Pb3W4N3 after structural relaxation.

```
Zr2Pb3W4N3
1.0
-3.7381 4.1415 -1.3012
-2.8447 -0.3412 -4.9608
-8.1860 -8.3417 8.2195
W Zr Pb N
8 4 6 6
direct
0.6613 0.9133 0.0817
0.8284 0.9415 0.4346
0.3387 0.0867 0.9183
0.0585 0.1716 0.0654
0.9415 0.8284 0.9346
0.0867 0.3387 0.4183
0.9133 0.6613 0.5817
0.1716 0.0585 0.5654
0.5173 0.3496 0.5837
0.4827 0.6504 0.4163
0.3496 0.5173 0.0837
0.6504 0.4827 0.9163
0.2314 0.4232 0.7575
0.9311 0.0689 0.7500
0.5768 0.7686 0.7425
0.0689 0.9311 0.2500
0.7686 0.5768 0.2425
0.4232 0.2314 0.2575
0.3447 0.8199 0.0029
0.1801 0.6553 0.4971
0.8199 0.3447 0.5029
0.5000 0.0000 0.5000
0.6553 0.1801 0.9971
0.0000 0.5000 0.0000
```

## Properties
E: -8.71 eV/atom



Q: What is the E in the third record?
A: -9.35 eV/atom



What did the second record say?
DFT (PBE) results for PbW4N3 after structural relaxation.

```
PbW4N3
1.0
3.2988 0.0000 0.0000
-1.6494 2.8568 0.0000
0.0000 0.0000 22.5148
W Pb N
8 2 6
direct
0.3333 0.6667 0.0554
0.0000 0.0000 0.8578
0.0000 0.0000 0.3578
0.0000 0.0000 0.1422
0.3333 0.6667 0.4446
0.0000 0.0000 0.6422
0.6667 0.3333 0.5554
0.6667 0.3333 0.9446
0.6667 0.3333 0.7500
0.3333 0.6667 0.2500
0.3333 0.6667 0.8915
0.0000 0.0000 0.5000
0.3333 0.6667 0.6085
0.6667 0.3333 0.1085
0.6667 0.3333 0.3915
0.0000 0.0000 0.0000
```

## Properties
E: -9.63 eV/atom



Q: What is the formula in the sixth record?
A: Zr2Pb3W4N3